Record 1
First-principles (GGA-PBE) data for a geometry-optimized Te2S2F structure, as listed in Alexandria. Values from VASP.

Values from the calculation:
- space-group type = No. 2
- total magnetic moment (μB/f.u.) = 0.000
- formation energy without anion corrections (eV per atom) = -0.38

Quantum ESPRESSO input file:
```
&SYSTEM
  ibrav = 0, nat = 10, ntyp = 3
/
ATOMIC_SPECIES
S 32.06 S.upf
F 19.00 F.upf
Te 127.60 Te.upf
ATOMIC_POSITIONS crystal
S 0.633 0.348 0.626
S 0.949 0.989 0.272
S 0.050 0.009 0.724
S 0.366 0.650 0.371
F 0.258 0.648 0.961
F 0.742 0.350 0.035
Te 0.437 0.011 0.265
Te 0.120 0.371 0.617
Te 0.562 0.987 0.731
Te 0.879 0.627 0.379
CELL_PARAMETERS angstrom
-7.119 -2.930 1.868
2.870 -3.626 -3.436
3.790 0.529 6.834
```

Record 2
First-principles (GGA-PBE) data for a geometry-optimized Ac3Ag2SnPd9 structure, as listed in Alexandria. Values from VASP.

Values from the calculation:
- calculated formation energy (meV/atom) = -455
- space-group type = No. 164
- total magnetic moment (μB/f.u.) = 0.000

Quantum ESPRESSO input file:
```
&SYSTEM
  ibrav = 0, nat = 15, ntyp = 4
/
ATOMIC_SPECIES
Pd 106.42 Pd.upf
Ag 107.87 Ag.upf
Ac 227.00 Ac.upf
Sn 118.71 Sn.upf
ATOMIC_POSITIONS crystal
Pd 0.170 0.339 0.341
Pd 0.500 0.500 0.000
Pd 0.500 0.000 0.000
Pd 0.830 0.661 0.659
Pd 0.661 0.830 0.341
Pd 0.000 0.500 0.000
Pd 0.170 0.830 0.341
Pd 0.339 0.170 0.659
Pd 0.830 0.170 0.659
Ag 0.333 0.667 0.169
Ag 0.667 0.333 0.831
Ac 0.667 0.333 0.243
Ac 0.333 0.667 0.757
Ac 0.000 0.000 0.000
Sn 0.000 0.000 0.500
CELL_PARAMETERS angstrom
-5.421 -1.692 -0.980
4.216 -3.911 0.371
-1.976 -0.939 12.552
```

Record 3
First-principles (GGA-PBE) data for a geometry-optimized Li5H2N structure, as listed in Alexandria. Values from VASP.

Values from the calculation:
- space-group type = No. 63
- electronic total energy (eV per formula unit) = -27.2
- total magnetic moment (μB/f.u.) = 0.000

Quantum ESPRESSO input file:
```
&SYSTEM
  ibrav = 0, nat = 16, ntyp = 3
/
ATOMIC_SPECIES
N 14.01 N.upf
Li 6.94 Li.upf
H 1.01 H.upf
ATOMIC_POSITIONS crystal
N 0.172 0.345 0.250
N 0.828 0.655 0.750
Li 0.288 0.577 0.097
Li 0.712 0.423 0.597
Li 0.300 0.600 0.750
Li 0.700 0.400 0.250
Li 0.038 0.075 0.380
Li 0.962 0.925 0.880
Li 0.962 0.925 0.620
Li 0.288 0.577 0.403
Li 0.038 0.075 0.120
Li 0.712 0.423 0.903
H 0.138 0.277 0.547
H 0.138 0.277 0.953
H 0.862 0.723 0.047
H 0.862 0.723 0.453
CELL_PARAMETERS angstrom
-0.887 0.505 -3.604
2.576 -4.499 0.683
-9.133 -4.994 1.548
```

- Number 3 is which compound?
  Li5H2N

- total magnetic moment of number 1 (Te2S2F)?
  0.000 μB/f.u.